1.
Ba2Ir2Cl: optimized geometry, PBEsol.

Unit cell a=3.747 b=3.747 c=9.589 alpha=101.27 beta=101.27 gamma=90.00
Fractional positions:
Ba 0.385 0.385 0.770
Ba 0.615 0.615 0.230
Ir 0.750 0.250 0.500
Ir 0.250 0.750 0.500
Cl 0.000 0.000 0.000

Computed properties:
theoretical density = 8.9 g cm⁻³
total magnetic moment = 0.00 Bohr magnetons per cell
DFT total energy = -5.73 eV per atom
ΔE_f (raw) = -12.46 kcal/mol of atoms

=====

2.
K2BaCl: optimized geometry, PBEsol.

Unit cell a=4.188 b=4.188 c=11.747 alpha=90.00 beta=90.00 gamma=111.88
Each line ends with the local moment (μB).
Fractional positions:
Ba 0.500 0.500 0.500  0.10
Cl 0.500 0.500 0.000  0.00
K 0.000 0.000 0.166  0.01
K 0.000 0.000 0.834  0.01

Computed properties:
theoretical density = 2.2 g cm⁻³
total magnetic moment = 0.67 Bohr magnetons per cell
DFT total energy = -2.41 eV per atom
ΔE_f (raw) = -18.59 kcal/mol of atoms

=====

3.
KBaCl2: optimized geometry, PBEsol.

Unit cell a=4.736 b=5.865 c=5.973 alpha=90.00 beta=94.10 gamma=90.00
Fractional positions:
Cl 0.879 0.500 0.360
Cl 0.045 0.000 0.968
Ba 0.998 0.500 0.860
K 0.578 0.000 0.312

Computed properties:
theoretical density = 2.5 g cm⁻³
total magnetic moment = 0.00 Bohr magnetons per cell
DFT total energy = -3.58 eV per atom
ΔE_f (raw) = -40.41 kcal/mol of atoms

=====

V for every record listed, in sequence, given in A^3/atom: 25.88 47.79 41.37.